The following is a DFT calculation (PBE) of crystalline MgBe2Te at its relaxed geometry.

Symmetry: Cm
E above lowest polymorph in meV/atom: 0.0
Formation energy (no corrections) in meV per atom: 189

The structure in extended XYZ format:
```
8
Lattice="7.266 0.000 0.000 0.000 3.661 0.000 -1.317 0.000 5.513" Properties=species:S:1:pos:R:3 pbc="T T T"
Mg 0.000 0.000 0.000
Mg 3.633 1.830 0.000
Be 1.245 1.830 1.582
Be 2.645 0.000 1.542
Be 4.877 0.000 1.582
Be 6.278 1.830 1.542
Te 1.005 0.000 3.297
Te 4.638 1.830 3.297
```